1.
Compound: UPa2Al
Source: the Alexandria database
Functional: PBE
Structure: optimized geometry

Properties
N(E_F)	9.593	states/eV per cell
total energy	-8.437	eV/atom

Cell lengths 3.676, 3.676, 6.559 Å; angles 90.00, 90.00, 90.00 degrees
Space group P4/mmm (No. 123)
Inequivalent atoms, fractional coordinates:
U 0.000 0.000 0.000
Pa 0.500 0.500 0.246
Al 0.000 0.000 0.500

---

2.
Compound: Pr12Dy7Th
Source: the Alexandria database
Functional: PBE
Structure: optimized geometry

Properties
N(E_F)	104.975	states/eV per cell
total energy	-4.631	eV/atom

Cell lengths 12.5652, 12.5652, 15.2391 Å; angles 90.00, 90.00, 120.00 degrees
Space group R-3 (No. 148, hexagonal axes)
Inequivalent atoms, fractional coordinates:
Pr 0.0209 0.4393 0.2030
Pr 0.0568 0.5874 0.5908
Dy 0.0000 0.0000 0.0000
Dy 0.0458 0.1821 0.3037
Th 0.0000 0.0000 0.5000

---

Energy above the lowest structure with this stoichiometry: 136.3; 0.0 (meV/atom)
Total moment: 0.0; 0.0 (μB/f.u.)